The following is a DFT calculation (PBE-GGA) of La2NdH2 after structural relaxation.

a = 3.7885 Å, b = 3.7885 Å, c = 17.8800 Å
α = 90.00°, β = 90.00°, γ = 120.00°
Sites, in units of the cell vectors:
1 La 0.3333 0.6667 0.0859
2 La 0.3333 0.6667 0.4141
3 La 0.6667 0.3333 0.5859
4 La 0.6667 0.3333 0.9141
5 Nd 0.3333 0.6667 0.7500
6 Nd 0.6667 0.3333 0.2500
7 H 0.0000 0.0000 0.1717
8 H 0.0000 0.0000 0.3283
9 H 0.0000 0.0000 0.6717
10 H 0.0000 0.0000 0.8283

Computed properties:
**DOS at the Fermi energy**: 0.854 states/eV per atom
**Total energy**: -0.166 Ha/atom

=====

The following is a DFT calculation (PBE-GGA) of BIO3 after structural relaxation.

a = 4.0815 Å, b = 4.0815 Å, c = 4.0815 Å
α = 90.00°, β = 90.00°, γ = 90.00°
Sites, in units of the cell vectors:
1 B 0.0000 0.0000 0.0000
2 I 0.5000 0.5000 0.5000
3 O 0.0000 0.5000 0.5000
4 O 0.5000 0.0000 0.5000
5 O 0.5000 0.5000 0.0000

Computed properties:
**DOS at the Fermi energy**: 0.000 states/eV per atom
**Total energy**: -0.140 Ha/atom
**Formation energy without anion corrections**: 79.2 kJ per mole of atoms

=====

The following is a DFT calculation (PBE-GGA) of LaMoN3 after structural relaxation.

a = 3.5809 Å, b = 3.5809 Å, c = 5.8887 Å
α = 90.00°, β = 90.00°, γ = 90.00°
Sites, in units of the cell vectors:
1 La 0.0000 0.0000 0.0000
2 Mo 0.5000 0.5000 0.4154
3 N 0.0000 0.0000 0.6312
4 N 0.0000 0.5000 0.2709
5 N 0.5000 0.0000 0.2709

Computed properties:
**DOS at the Fermi energy**: 0.604 states/eV per atom
**Total energy**: -0.290 Ha/atom
**Formation energy without anion corrections**: 23.5 kJ per mole of atoms

=====

The following is a DFT calculation (PBE-GGA) of K4Tl2Pb3 after structural relaxation.

a = 9.5434 Å, b = 9.5434 Å, c = 8.2755 Å
α = 108.36°, β = 108.36°, γ = 30.79°
Sites, in units of the cell vectors:
1 K 0.0829 0.0829 0.3689
2 K 0.2663 0.2663 0.7966
3 K 0.7337 0.7337 0.2034
4 K 0.9171 0.9171 0.6311
5 Tl 0.1084 0.1084 0.9491
6 Tl 0.8916 0.8916 0.0509
7 Pb 0.4241 0.4241 0.3229
8 Pb 0.5000 0.5000 0.0000
9 Pb 0.5759 0.5759 0.6771

Computed properties:
**DOS at the Fermi energy**: 0.646 states/eV per atom
**Energy of formation from the pure elements**: -2.4 kcal/mol of atoms
**Total energy**: -0.087 Ha/atom

=====

The following is a DFT calculation (PBE-GGA) of NaErSiS4 after structural relaxation.

a = 6.3562 Å, b = 6.5857 Å, c = 7.9406 Å
α = 90.00°, β = 105.82°, γ = 90.00°
Sites, in units of the cell vectors:
1 Na 0.2476 0.2500 0.4373
2 Na 0.7524 0.7500 0.5627
3 Er 0.2772 0.2500 0.9467
4 Er 0.7228 0.7500 0.0533
5 Si 0.2612 0.7500 0.1822
6 Si 0.7388 0.2500 0.8178
7 S 0.0578 0.7500 0.3503
8 S 0.0742 0.7500 0.9164
9 S 0.4877 0.5012 0.2266
10 S 0.4877 0.9988 0.2266
11 S 0.5123 0.0012 0.7734
12 S 0.5123 0.4988 0.7734
13 S 0.9258 0.2500 0.0836
14 S 0.9422 0.2500 0.6497

Computed properties:
**DOS at the Fermi energy**: 0.000 states/eV per atom
**Total energy**: -0.195 Ha/atom
**Formation energy without anion corrections**: -128.1 kJ per mole of atoms

=====

The following is a DFT calculation (PBE-GGA) of TiSb2HI after structural relaxation.

a = 4.3930 Å, b = 4.3930 Å, c = 5.6414 Å
α = 90.00°, β = 90.00°, γ = 90.00°
Sites, in units of the cell vectors:
1 Ti 0.0000 0.0000 0.0000
2 Sb 0.0000 0.5000 0.5000
3 Sb 0.5000 0.0000 0.5000
4 H 0.5000 0.5000 0.5000
5 I 0.5000 0.5000 0.0000

Computed properties:
**DOS at the Fermi energy**: 1.252 states/eV per atom
**Total energy**: -0.136 Ha/atom

=====

The following is a DFT calculation (PBE-GGA) of NaLi after structural relaxation.

a = 8.7167 Å, b = 8.7167 Å, c = 8.7167 Å
α = 90.00°, β = 90.00°, γ = 90.00°
Sites, in units of the cell vectors:
1 Na 0.0000 0.2500 0.5000
2 Na 0.0000 0.7500 0.5000
3 Na 0.2500 0.5000 0.0000
4 Na 0.5000 0.0000 0.2500
5 Na 0.5000 0.0000 0.7500
6 Na 0.7500 0.5000 0.0000
7 Li 0.0000 0.5000 0.2500
8 Li 0.0000 0.5000 0.7500
9 Li 0.2500 0.0000 0.5000
10 Li 0.5000 0.2500 0.0000
11 Li 0.5000 0.7500 0.0000
12 Li 0.7500 0.0000 0.5000

Computed properties:
**DOS at the Fermi energy**: 0.564 states/eV per atom
**Energy of formation from the pure elements**: 12.1 kcal/mol of atoms
**Excess energy over the best structure of this formula in the dataset**: 483 meV per atom
**Total energy**: -0.040 Ha/atom

=====

The following is a DFT calculation (PBE-GGA) of TbNdTlNi after structural relaxation.

a = 5.2157 Å, b = 5.2157 Å, c = 5.2157 Å
α = 60.00°, β = 60.00°, γ = 60.00°
Sites, in units of the cell vectors:
1 Tb 0.0000 0.0000 0.0000
2 Nd 0.5000 0.5000 0.5000
3 Tl 0.2500 0.2500 0.2500
4 Ni 0.7500 0.7500 0.7500

Computed properties:
**DOS at the Fermi energy**: 1.116 states/eV per atom
**Energy of formation from the pure elements**: -4.7 kcal/mol of atoms
**Total energy**: -0.169 Ha/atom

=====

The following is a DFT calculation (PBE-GGA) of K2LiRh after structural relaxation.

a = 11.3881 Å, b = 11.3881 Å, c = 11.3881 Å
α = 157.44°, β = 157.44°, γ = 32.12°
Sites, in units of the cell vectors:
1 K 0.1189 0.6250 0.9939
2 K 0.3750 0.3689 0.4939
3 K 0.6311 0.1250 0.0061
4 K 0.8750 0.8811 0.5061
5 Li 0.2500 0.7500 0.5000
6 Li 0.5000 0.5000 0.0000
7 Rh 0.0000 0.0000 0.0000
8 Rh 0.7500 0.2500 0.5000

Computed properties:
**DOS at the Fermi energy**: 0.270 states/eV per atom
**Energy of formation from the pure elements**: 16.2 kcal/mol of atoms
**Total energy**: -0.079 Ha/atom

=====

The following is a DFT calculation (PBE-GGA) of Ce4Se3O4 after structural relaxation.

a = 6.4531 Å, b = 6.4531 Å, c = 6.4531 Å
α = 109.47°, β = 109.47°, γ = 109.47°
Sites, in units of the cell vectors:
1 Ce 0.0000 0.0000 0.3498
2 Ce 0.0000 0.3498 0.0000
3 Ce 0.3498 0.0000 0.0000
4 Ce 0.6502 0.6502 0.6502
5 Se 0.0000 0.5000 0.5000
6 Se 0.5000 0.0000 0.5000
7 Se 0.5000 0.5000 0.0000
8 O 0.0000 0.0000 0.7222
9 O 0.0000 0.7222 0.0000
10 O 0.2778 0.2778 0.2778
11 O 0.7222 0.0000 0.0000

Computed properties:
**DOS at the Fermi energy**: 1.923 states/eV per atom
**Excess energy over the best structure of this formula in the dataset**: 26 meV per atom
**Total energy**: -0.280 Ha/atom
**Formation energy without anion corrections**: -260.8 kJ per mole of atoms

=====

The following is a DFT calculation (PBE-GGA) of Sr6SbN2 after structural relaxation.

a = 10.1317 Å, b = 10.1317 Å, c = 7.1181 Å
α = 97.67°, β = 97.67°, γ = 89.80°
Sites, in units of the cell vectors:
1 Sr 0.0388 0.2184 0.1867
2 Sr 0.1602 0.5783 0.3507
3 Sr 0.2184 0.0388 0.6867
4 Sr 0.2754 0.4036 0.8765
5 Sr 0.4036 0.2754 0.3765
6 Sr 0.4217 0.8398 0.1493
7 Sr 0.5783 0.1602 0.8507
8 Sr 0.5964 0.7246 0.6235
9 Sr 0.7246 0.5964 0.1235
10 Sr 0.7816 0.9612 0.3133
11 Sr 0.8398 0.4217 0.6493
12 Sr 0.9612 0.7816 0.8133
13 Sb 0.1102 0.8898 0.2500
14 Sb 0.8898 0.1102 0.7500
15 N 0.2167 0.3705 0.1898
16 N 0.3705 0.2167 0.6898
17 N 0.6295 0.7833 0.3102
18 N 0.7833 0.6295 0.8102

Computed properties:
**DOS at the Fermi energy**: 0.351 states/eV per atom
**Total energy**: -0.145 Ha/atom
**Formation energy without anion corrections**: -49.8 kJ per mole of atoms

=====

The following is a DFT calculation (PBE-GGA) of Mg5NiPt4 after structural relaxation.

a = 2.9948 Å, b = 2.9948 Å, c = 17.3594 Å
α = 90.00°, β = 90.00°, γ = 90.00°
Sites, in units of the cell vectors:
1 Mg 0.0000 0.0000 0.0000
2 Mg 0.0000 0.0000 0.2043
3 Mg 0.0000 0.0000 0.4071
4 Mg 0.0000 0.0000 0.5929
5 Mg 0.0000 0.0000 0.7957
6 Ni 0.5000 0.5000 0.5000
7 Pt 0.5000 0.5000 0.1023
8 Pt 0.5000 0.5000 0.3068
9 Pt 0.5000 0.5000 0.6932
10 Pt 0.5000 0.5000 0.8977

Computed properties:
**DOS at the Fermi energy**: 0.422 states/eV per atom
**Energy of formation from the pure elements**: -16.6 kcal/mol of atoms
**Total energy**: -0.166 Ha/atom

=====

Magnetic moment per entry: 0.000 0.000 0.000 0.000 0.000 0.000 0.000 0.000 0.000 0.190 0.000 0.000 μB/atom